! PBE-GGA BeTl2Si, optimized geometry; values from VASP
! Space-group type: No. 44
! Crystal system: orthorhombic
! E_form (uncorrected) (meV per atom): 459.0
! E (eV for the cell shown): -12.05
&SYSTEM
  ibrav = 0, nat = 4, ntyp = 3
/
ATOMIC_SPECIES
Be 9.01 Be.upf
Tl 204.38 Tl.upf
Si 28.09 Si.upf
ATOMIC_POSITIONS crystal
Be 0.000 0.000 0.000
Tl 0.397 0.397 0.000
Tl 0.682 0.182 0.500
Si 0.068 0.568 0.500
CELL_PARAMETERS angstrom
-1.938 1.975 6.613
1.938 -1.975 6.613
1.938 1.975 -6.613